! LaHo5Tl4 PBE relaxed; values from VASP
! * formation energy: -0.264 eV/atom
&SYSTEM
  ibrav = 0, nat = 10, ntyp = 3
/
ATOMIC_SPECIES
Tl 204.38 Tl.upf
Ho 164.93 Ho.upf
La 138.91 La.upf
ATOMIC_POSITIONS crystal
Tl 0.0000 0.0000 0.4047
Tl 0.0000 0.0000 0.5953
Tl 0.0000 0.0000 0.7869
Tl 0.0000 0.0000 0.2131
Ho 0.5000 0.5000 0.5000
Ho 0.5000 0.5000 0.8809
Ho 0.5000 0.5000 0.3091
Ho 0.5000 0.5000 0.1191
Ho 0.5000 0.5000 0.6909
La 0.0000 0.0000 0.0000
CELL_PARAMETERS angstrom
-0.8183 2.7921 2.1027
-3.0617 -1.6144 0.9522
10.3474 -9.6727 16.8709